(w)
VASP calculation (PBE) on a geometry-optimized FeHIr2Pd structure.

It has space group P4/mmm (No. 123), with a = 3.905 Å, b = 3.905 Å, c = 3.915 Å, α = 90.00°, β = 90.00° and γ = 90.00°. The inequivalent atoms are Fe at (0.000, 0.000, 0.000), H at (0.000, 0.000, 0.500), Ir at (0.000, 0.500, 0.500) and Pd at (0.500, 0.500, 0.000).

=====

(x)
VASP calculation (PBE) on a geometry-optimized FeHIr2Pd structure.

It has space group P4/mmm (No. 123), with a = 3.924 Å, b = 3.924 Å, c = 3.927 Å, α = 90.00°, β = 90.00° and γ = 90.00°. The inequivalent atoms are Fe at (0.000, 0.000, 0.000), H at (0.500, 0.500, 0.500), Ir at (0.000, 0.500, 0.500) and Pd at (0.500, 0.500, 0.000).

=====

Least stable = (x)

=====

(w)
VASP calculation (PBE) on a geometry-optimized FeHIrPt2 structure.

It has space group P4/mmm (No. 123), with a = 3.967 Å, b = 3.967 Å, c = 3.958 Å, α = 90.00°, β = 90.00° and γ = 90.00°. The inequivalent atoms are Fe at (0.000, 0.000, 0.000), H at (0.500, 0.500, 0.500), Ir at (0.500, 0.500, 0.000) and Pt at (0.000, 0.500, 0.500).

=====

(x)
VASP calculation (PBE) on a geometry-optimized FeHIrPt2 structure.

It has space group P4/mmm (No. 123), with a = 3.898 Å, b = 3.898 Å, c = 4.048 Å, α = 90.00°, β = 90.00° and γ = 90.00°. The inequivalent atoms are Fe at (0.000, 0.000, 0.000), H at (0.000, 0.000, 0.500), Ir at (0.500, 0.500, 0.000) and Pt at (0.000, 0.500, 0.500).

=====

Least stable = (x)

=====

(w)
VASP calculation (PBE) on a geometry-optimized Fe2TcHIr structure.

It has space group P4/mmm (No. 123), with a = 3.720 Å, b = 3.720 Å, c = 3.755 Å, α = 90.00°, β = 90.00° and γ = 90.00°. The inequivalent atoms are Fe at (0.000, 0.500, 0.000), Tc at (0.000, 0.000, 0.500), H at (0.000, 0.000, 0.000) and Ir at (0.500, 0.500, 0.500).

=====

(x)
VASP calculation (PBE) on a geometry-optimized Fe2TcHIr structure.

It has space group P4/mmm (No. 123), with a = 3.743 Å, b = 3.743 Å, c = 3.720 Å, α = 90.00°, β = 90.00° and γ = 90.00°. The inequivalent atoms are Fe at (0.000, 0.500, 0.000), Tc at (0.000, 0.000, 0.500), H at (0.500, 0.500, 0.000) and Ir at (0.500, 0.500, 0.500).

=====

Least stable = (x)

=====

(w)
VASP calculation (PBE) on a geometry-optimized V2FeHIr structure.

It has space group P4/mmm (No. 123), with a = 3.853 Å, b = 3.853 Å, c = 3.582 Å, α = 90.00°, β = 90.00° and γ = 90.00°. The inequivalent atoms are V at (0.000, 0.500, 0.000), Fe at (0.000, 0.000, 0.500), H at (0.000, 0.000, 0.000) and Ir at (0.500, 0.500, 0.500).

=====

(x)
VASP calculation (PBE) on a geometry-optimized V2FeHIr structure.

It has space group P4/mmm (No. 123), with a = 3.796 Å, b = 3.796 Å, c = 3.791 Å, α = 90.00°, β = 90.00° and γ = 90.00°. The inequivalent atoms are V at (0.000, 0.500, 0.000), Fe at (0.000, 0.000, 0.500), H at (0.500, 0.500, 0.000) and Ir at (0.500, 0.500, 0.500).

=====

Least stable = (x)